Below is a relaxed ZrFeTe2 crystal, with properties calculated at the PBE level.

a = 3.665 Å, b = 3.939 Å, c = 7.663 Å
α = 90.00°, β = 103.35°, γ = 90.00°
Space group Pm (No. 6)
Asymmetric unit:
Zr1 0.000 0.000 0.000
Fe1 0.553 0.500 0.111
Te1 0.391 0.500 0.776
Te2 0.656 0.000 0.322

Output
Formation energy from raw total energies: -0.38 eV per atom
ρ: 6.21 Mg/m³
Volume: 107.6 Å³/cell
Final energy: -24.81 eV per cell

***

Below is a relaxed DyTlHg4 crystal, with properties calculated at the PBE level.

a = 8.553 Å, b = 8.553 Å, c = 8.553 Å
α = 90.00°, β = 90.00°, γ = 90.00°
Space group F-43m (No. 216)
Asymmetric unit:
Dy1 0.000 0.000 0.000
Tl1 0.250 0.250 0.750
Hg1 0.125 0.125 0.375

Output
Formation energy: -53 meV/atom
ρ: 12.41 Mg/m³
Volume: 625.6 Å³/cell
Final energy: -33.96 eV per cell

***

Below is a relaxed Dy7MgTl2 crystal, with properties calculated at the PBE level.

a = 9.072 Å, b = 15.320 Å, c = 5.320 Å
α = 90.00°, β = 90.00°, γ = 90.00°
Space group Cmmm (No. 65)
Asymmetric unit:
Dy1 0.000 0.000 0.000
Dy2 0.000 0.275 0.500
Dy3 0.183 0.383 0.000
Mg1 0.000 0.500 0.500
Tl1 0.000 0.196 0.000

Output
Formation energy: 353 meV/atom
ρ: 7.05 Mg/m³
Volume: 739.4 Å³/cell
Final energy: -70.03 eV per cell

***

Number 1: DOS(E_F) 2.91 states/eV per cell. Number 2: DOS(E_F) 13.89 states/eV per cell. Number 3: DOS(E_F) 26.73 states/eV per cell.